# KRh2I2 GGA-PBE relaxed
# formation energy from raw total energies: 320.1 meV/atom
# calculated volume: 24.16 A^3/atom
# E: -3.460 eV per atom
data_KRh2I2
_chemical_formula_sum 'K2 Rh4 I4'
_cell_length_a 8.3747
_cell_length_b 8.3747
_cell_length_c 3.4443
_cell_angle_alpha 90.00
_cell_angle_beta 90.00
_cell_angle_gamma 90.00
_space_group_name_H-M_alt 'P 4/m b m'
_space_group_IT_number 127
_space_group_name_Hall '-P 4 2ab'
loop_
_atom_site_label
_atom_site_fract_x
_atom_site_fract_y
_atom_site_fract_z
K1 0.0000 0.0000 0.0000
Rh1 0.1154 0.3846 0.5000
I1 0.1634 0.6634 0.0000